Compound: Sc5Mn
Source: the Alexandria database
Functional: meta-GGA SCAN
Structure: PBEsol geometry

Cell: 3.2381 4.8999 8.1799 Å, 90.00 101.42 90.00°
Closest atoms and distances in Å follow each position.
Fractional coordinates of all 6 atoms:
Sc (0.7776, 0.5000, 0.5551)  12 Sc 3.11-3.24
Sc (0.6539, 0.0000, 0.3079)  2 Mn 2.97, 8 Sc 3.02-3.24
Sc (0.4526, 0.5000, 0.9052)  8 Sc 2.98-3.24, 4 Mn 3.03
Sc (0.3419, 0.0000, 0.6839)  2 Mn 2.99, 8 Sc 3.02-3.24
Sc (0.1088, 0.5000, 0.2177)  10 Sc 2.98-3.24, 2 Mn 3.02
Mn (0.9985, 0.0000, 0.9970)  10 Sc 2.97-3.03, 2 Mn 3.24

Values from the calculation:
* calculated formation energy: -1.8 kJ/mol of formula units